Record 1
The following is a DFT calculation (PBEsol) of a relaxed structure of FeSnN3.

Its calculated density is 6.905 g/cm³. For the density of states at the Fermi level, the calculation gives 3.816 states/eV/f.u. As for the formation energy (no corrections): 4.3 eV per formula unit.

The space group is Pm-3m (No. 221) and the conventional cell measures 3.735, 3.735 and 3.735 Å, with angles of 90.00, 90.00 and 90.00 degrees. Symmetry generates all atoms from Fe at (0.000, 0.000, 0.000), Sn at (0.500, 0.500, 0.500) and N at (0.000, 0.000, 0.500).


Record 2
The following is a DFT calculation (PBEsol) of a relaxed structure of Cd2SbBr2.

Its calculated density is 6.388 g/cm³. For the density of states at the Fermi level, the calculation gives 3.551 states/eV/f.u. As for the formation energy (no corrections): 0.1 eV per formula unit.

The space group is I4/mmm (No. 139) and the conventional cell measures 4.675, 4.675 and 12.045 Å, with angles of 90.00, 90.00 and 90.00 degrees. Symmetry generates all atoms from Cd at (0.000, 0.000, 0.112), Sb at (0.000, 0.000, 0.500) and Br at (0.000, 0.500, 0.250).